1.
Ta2HgTe | PBEsol | optimized geometry

Lattice parameters (Å, degrees): 3.0890 4.4228 5.8300 90.00 103.44 90.00
Last column: nearest neighbours and their distance in Å.
Space group P2/m (No. 10)
One atom of each set of equivalent atoms:
Ta1 0.2360 0.0000 0.2591 (multiplicity 2)  2 Te 2.81, 2 Hg 2.90, 4 Ta 2.90-3.09
Hg1 0.5000 0.5000 0.0000 (multiplicity 1)  4 Ta 2.90, 2 Te 2.96, 2 Hg 3.09
Te1 0.0000 0.5000 0.5000 (multiplicity 1)  4 Ta 2.81, 2 Hg 2.96, 2 Te 3.09

Computed properties:
**Energy above the lowest structure with this stoichiometry**: 105 kJ/mol of formula units
**Calculated total energy**: -6.87 eV/atom
**Density**: 14.792 g/cm³
**Energy relative to the elements, uncorrected**: 0.426 eV/atom

***

2.
BaNi2Mo | PBEsol | optimized geometry

Lattice parameters (Å, degrees): 6.6086 6.6086 6.6086 90.00 90.00 90.00
Last column: nearest neighbours and their distance in Å.
Space group Fm-3m (No. 225)
One atom of each set of equivalent atoms:
Ba1 0.0000 0.0000 0.0000 (multiplicity 4)  8 Ni 2.86
Ni1 0.2500 0.2500 0.2500 (multiplicity 8)  4 Ba 2.86, 4 Mo 2.86
Mo1 0.0000 0.0000 0.5000 (multiplicity 4)  8 Ni 2.86

Computed properties:
**Energy above the lowest structure with this stoichiometry**: 44 kJ/mol of formula units
**Calculated total energy**: -5.52 eV/atom
**Density**: 8.070 g/cm³
**E_form**: 100.31 kJ/mol of atoms

***

3.
BeTc2P | PBEsol | optimized geometry

Lattice parameters (Å, degrees): 2.8684 2.8684 5.6768 90.00 90.00 90.00
Last column: nearest neighbours and their distance in Å.
Space group P4/mmm (No. 123)
One atom of each set of equivalent atoms:
Be1 0.0000 0.0000 0.0000 (multiplicity 1)  8 Tc 2.49
Tc1 0.5000 0.5000 0.2541 (multiplicity 2)  4 P 2.46, 4 Be 2.49
P1 0.0000 0.0000 0.5000 (multiplicity 1)  8 Tc 2.46

Computed properties:
**Energy above the lowest structure with this stoichiometry**: 85 kJ/mol of formula units
**Calculated total energy**: -8.32 eV/atom
**Density**: 8.390 g/cm³
**E_form**: -23.14 kJ/mol of atoms

***

4.
LiEuGe2 | PBEsol | optimized geometry

Lattice parameters (Å, degrees): 7.8587 3.9364 10.6427 90.00 90.00 90.00
Last column: nearest neighbours and their distance in Å.
Space group Pnma (No. 62)
One atom of each set of equivalent atoms:
Li1 0.0089 0.2500 0.1087 (multiplicity 4)  5 Ge 2.59-2.73
Eu1 0.1365 0.7500 0.3654 (multiplicity 4)  9 Ge 3.07-3.37
Ge1 0.1584 0.7500 0.6819 (multiplicity 4)  2 Ge 2.49, 2 Li 2.59-2.73
Ge2 0.2306 0.7500 0.0641 (multiplicity 4)  2 Ge 2.49, 3 Li 2.63-2.67

Computed properties:
**Calculated total energy**: -6.23 eV/atom
**Density**: 6.137 g/cm³
**E_form**: -60.42 kJ/mol of atoms

***

5.
CaCdOs | PBEsol | optimized geometry

Lattice parameters (Å, degrees): 6.5070 6.5070 6.5070 90.00 90.00 90.00
Last column: nearest neighbours and their distance in Å.
Space group F-43m (No. 216)
One atom of each set of equivalent atoms:
Ca1 0.0000 0.0000 0.0000 (multiplicity 4)  4 Os 2.82
Cd1 0.0000 0.0000 0.5000 (multiplicity 4)  4 Os 2.82
Os1 0.2500 0.2500 0.7500 (multiplicity 4)  4 Cd 2.82, 4 Ca 2.82

Computed properties:
**Energy above the lowest structure with this stoichiometry**: 126 kJ/mol of formula units
**Calculated total energy**: -4.32 eV/atom
**Density**: 8.262 g/cm³
**E_form**: 83.26 kJ/mol of atoms

***

6.
ZnHg2Br | PBEsol | optimized geometry

Lattice parameters (Å, degrees): 7.2239 7.2239 7.2239 90.00 90.00 90.00
Last column: nearest neighbours and their distance in Å.
Space group F-43m (No. 216)
One atom of each set of equivalent atoms:
Zn1 0.0000 0.0000 0.0000 (multiplicity 4)  4 Hg 3.13, 4 Br 3.13
Hg1 0.0000 0.0000 0.5000 (multiplicity 4)  4 Hg 3.13, 4 Br 3.13
Hg2 0.2500 0.2500 0.2500 (multiplicity 4)  4 Hg 3.13, 4 Zn 3.13
Br1 0.2500 0.2500 0.7500 (multiplicity 4)  4 Hg 3.13, 4 Zn 3.13

Computed properties:
**Energy above the lowest structure with this stoichiometry**: 95 kJ/mol of formula units
**Calculated total energy**: -1.02 eV/atom
**Density**: 9.629 g/cm³
**Energy relative to the elements, uncorrected**: 0.122 eV/atom

***

> Among the records above, which one has the highest calculated total energy?

ZnHg2Br